Record 1
Crystalline TiV6Fe2 at its relaxed geometry, computed with GGA-PBE.

## Properties
Its energy above the most stable polymorph in this dataset is 0.000 eV/atom.

a b c (Å): 9.4462 2.9350 8.8820
angles (deg): 90.00 110.10 90.00
Space group C2/m (No. 12)
Asymmetric unit:
Ti: 0.0000 0.0000 0.0000 [2 per cell]
V: 0.9995 0.0000 0.3313 [4 per cell]
V: 0.1693 0.5000 0.5578 [4 per cell]
V: 0.1755 0.5000 0.8853 [4 per cell]
Fe: 0.1650 0.5000 0.2248 [4 per cell]

---

Record 2
Crystalline KTl6Ga at its relaxed geometry, computed with GGA-PBE.

a b c (Å): 5.2304 5.2304 9.7835
angles (deg): 90.00 90.00 90.00
Space group P4/mmm (No. 123)
Asymmetric unit:
K: 0.0000 0.0000 0.0000 [1 per cell]
Tl: 0.0000 0.5000 0.3314 [4 per cell]
Tl: 0.5000 0.5000 0.1532 [2 per cell]
Ga: 0.0000 0.0000 0.5000 [1 per cell]

---

Taking the records one at a time from the top gives volume values of 231; 268 Å³/cell.
Taking the records one at a time from the top gives calculated total energy values of -8.982; -2.273 eV/atom.
Taking the records one at a time from the top gives ΔH_f (0 K) values of -0.1456; 0.0168 eV/atom.